{"formula": "SrMoBr2", "functional": "PBEsol", "state": "relaxed", "formation_energy_uncorrected_kj_per_mol_fu": 31, "sg": "R-3m", "relative_energy_ev_per_atom": 0.282, "cell": [[-2.7221, 2.7151, 0.3284], [-2.5167, 0.5659, -2.8697], [-7.3527, -4.9772, 2.8727]], "species": ["Br", "Br", "Mo", "Sr"], "fractional_positions": [[0.8843, 0.8843, 0.3472], [0.1157, 0.1157, 0.6528], [0.5000, 0.5000, 0.5000], [0.0000, 0.0000, 0.0000]]}

{"formula": "Sr2MoBr", "functional": "PBEsol", "state": "relaxed", "formation_energy_uncorrected_kj_per_mol_fu": 88, "sg": "Amm2", "cell": [[-1.4267, 3.4008, 0.2654], [-4.3429, -1.6263, -2.5068], [-1.7525, -3.1412, 5.0739]], "species": ["Sr", "Mo", "Sr", "Br"], "fractional_positions": [[0.7401, 0.5000, 0.4802], [0.2770, 0.0000, 0.5539], [0.0127, 0.0000, 0.0253], [0.4703, 0.5000, 0.9406]]}

{"formula": "SrMoBr2", "functional": "PBEsol", "state": "relaxed", "formation_energy_uncorrected_kj_per_mol_fu": -21, "sg": "P4mm", "relative_energy_ev_per_atom": 0.147, "cell": [[4.1329, 0.0000, 0.0000], [0.0000, 4.1329, 0.0000], [0.0000, 0.0000, 6.0921]], "species": ["Br", "Br", "Sr", "Mo"], "fractional_positions": [[0.0000, 0.0000, 0.9183], [0.5000, 0.5000, 0.3142], [0.5000, 0.5000, 0.7958], [0.0000, 0.0000, 0.4717]]}